Ce2ThNi (PBE, relaxed); symmetry = Pnma (62); formation energy from the elements = -0.1697 eV/atom
1.0
6.785 0.000 0.000
0.000 9.724 0.000
0.000 0.000 6.014
Ce Th Ni
8 4 4
Cartesian
1.147 0.510 0.719 Ce
1.147 4.352 0.719 Ce
2.245 5.372 3.726 Ce
2.245 9.215 3.726 Ce
4.540 0.510 2.289 Ce
4.540 4.352 2.289 Ce
5.638 5.372 5.296 Ce
5.638 9.215 5.296 Ce
0.338 2.431 3.822 Th
3.055 7.293 0.815 Th
3.730 2.431 5.199 Th
6.448 7.293 2.192 Th
0.766 7.293 5.315 Ni
2.626 2.431 2.307 Ni
4.159 7.293 3.707 Ni
6.019 2.431 0.700 Ni

***

Ga4AgSe7 (PBE, relaxed); total DFT energy (no corrections) = -3.73 eV per atom; symmetry = Pmn2_1 (31)
1.0
14.787 0.000 0.000
0.000 6.998 0.000
0.000 0.000 6.562
Ga Ag Se
8 2 14
Cartesian
1.880 1.167 0.000 Ga
3.507 4.706 6.475 Ga
3.887 2.292 3.194 Ga
5.514 5.831 3.281 Ga
9.274 5.831 3.281 Ga
10.900 2.292 3.194 Ga
11.281 4.706 6.475 Ga
12.907 1.167 0.000 Ga
0.000 1.761 3.580 Ag
7.394 5.237 0.299 Ag
0.000 2.611 6.019 Se
1.583 5.938 5.615 Se
2.107 0.844 2.415 Se
3.496 4.608 2.433 Se
3.897 2.391 5.714 Se
5.287 6.154 5.696 Se
5.811 1.060 2.334 Se
7.394 4.387 2.738 Se
8.977 1.060 2.334 Se
9.500 6.154 5.696 Se
10.890 2.391 5.714 Se
11.291 4.608 2.433 Se
12.681 0.844 2.415 Se
13.204 5.938 5.615 Se

***

Hf2NbI (PBE, relaxed); total DFT energy (no corrections) = -7.16 eV per atom; symmetry = I-42d (122)
1.0
-2.126 2.126 10.202
2.126 -2.126 10.202
2.126 2.126 -10.202
Hf Nb I
4 2 2
Cartesian
3.190 1.048 -2.550 Hf
1.048 1.063 2.550 Hf
-1.063 1.078 7.651 Hf
1.078 1.063 12.752 Hf
0.000 0.000 0.000 Nb
0.000 2.126 5.101 Nb
2.126 0.000 5.101 I
0.000 0.000 10.202 I

***

CdWCl2 (PBE, relaxed); total DFT energy (no corrections) = -4.07 eV per atom; symmetry = I-42d (122)
1.0
-4.169 4.169 2.863
4.169 -4.169 2.863
4.169 4.169 -2.863
Cd W Cl
2 2 4
Cartesian
0.000 0.000 0.000 Cd
0.000 4.169 1.431 Cd
4.169 0.000 1.431 W
0.000 0.000 2.863 W
2.084 -0.908 2.147 Cl
3.261 2.084 0.716 Cl
2.084 5.076 -0.716 Cl
0.908 2.084 3.578 Cl

***

Number 1: total magnetization 0.00 μB per cell. Number 2: total magnetization 0.00 μB per cell. Number 3: total magnetization 0.00 μB per cell. Number 4: total magnetization 0.00 μB per cell.